Entry a
# Cd4Sn3Hg4

A relaxed Cd4Sn3Hg4 crystal (PBE-GGA, Alexandria).

Results
* total magnetic moment: 0.0 μB per formula unit
* calculated density: 9.5 g/cm³
* DOS at the Fermi energy: 3.639 states/eV per cell

Lattice parameters (Å, degrees): 3.152 3.438 25.956 87.37 88.56 89.00
Space group P-1 (No. 2)
One atom of each set of equivalent atoms:
Cd1 0.017 0.353 0.365 (multiplicity 2)
Cd2 0.023 0.034 0.909 (multiplicity 2)
Sn1 0.491 0.898 0.276 (multiplicity 2)
Sn2 0.500 0.500 0.000 (multiplicity 1)
Hg1 0.387 0.206 0.549 (multiplicity 2)
Hg2 0.428 0.424 0.175 (multiplicity 2)



Entry b
# Cd4Sn3Hg4

A relaxed Cd4Sn3Hg4 crystal (PBE-GGA, Alexandria).

Results
* total magnetic moment: 0.0 μB per formula unit
* calculated density: 9.3 g/cm³
* DOS at the Fermi energy: 6.028 states/eV per cell

Lattice parameters (Å, degrees): 9.320 4.623 13.300 90.00 90.00 90.00
Space group Amm2 (No. 38)
One atom of each set of equivalent atoms:
Cd1 0.000 0.000 0.000 (multiplicity 2)
Cd2 0.247 0.000 0.828 (multiplicity 4)
Cd3 0.500 0.000 0.975 (multiplicity 2)
Sn1 0.000 0.000 0.322 (multiplicity 2)
Sn2 0.262 0.000 0.491 (multiplicity 4)
Hg1 0.000 0.000 0.654 (multiplicity 2)
Hg2 0.276 0.000 0.167 (multiplicity 4)
Hg3 0.500 0.000 0.689 (multiplicity 2)



Q: Which of them is the most stable? A: entry a.